No. 1
14
Lattice="-1.856 -1.696 -2.924 6.158 -2.560 0.120 -4.128 -9.547 8.156" Properties=species:S:1:pos:R:3 comment="GGA-PBE Er4GaS2, optimized geometry" n_ef_per_ev_cell=8.58 energy_ev_per_atom=-5.546 sg="Cmcm (63)" magmom_total_mub_per_fu=0.000 e_form_raw_ev_per_atom=-1.3274 density_kg_m3=8193 pbc="T T T"
Er 1.412 -3.856 -1.203
Er 0.348 -6.315 0.898
Er -1.238 -9.947 6.554
Er -0.175 -7.488 4.453
Er 0.549 -10.988 3.481
Er -0.375 -2.815 1.870
Er -0.928 -0.848 -1.462
Er -2.992 -5.621 2.616
Ga -2.892 -8.746 4.364
Ga 3.066 -5.057 0.987
S -0.395 -5.133 3.227
S -1.004 -12.307 5.232
S 1.178 -1.496 0.120
S 0.569 -8.670 2.124

---

No. 2
15
Lattice="-2.029 7.072 3.065 -3.612 -6.631 2.547 7.821 1.335 2.098" Properties=species:S:1:pos:R:3 comment="GGA-PBE Er8Ga3Se3S, optimized geometry" n_ef_per_ev_cell=7.39 energy_ev_per_atom=-5.135 sg="R-3m (166)" magmom_total_mub_per_fu=0.000 e_form_raw_ev_per_atom=-1.1242 density_kg_m3=8068 pbc="T T T"
Er -0.367 -1.213 2.556
Er 2.547 2.988 5.155
Er -1.344 2.315 4.132
Er 3.525 -0.539 3.578
Er 0.466 5.639 2.856
Er 1.714 -3.864 4.855
Er 1.484 2.093 1.319
Er 0.696 -0.318 6.391
Ga 2.896 4.203 2.582
Ga 1.090 0.888 3.855
Ga 2.105 -2.648 2.323
Se 0.000 0.000 0.000
Se -1.806 -3.316 1.274
Se -2.820 0.220 2.806
S 3.911 0.667 1.049

---

No. 3
8
Lattice="3.897 0.000 0.000 0.000 6.937 -0.172 0.000 2.412 6.561" Properties=species:S:1:pos:R:3 comment="GGA-PBE Er4GaSeS2, optimized geometry" n_ef_per_ev_cell=2.97 energy_ev_per_atom=-5.686 sg="P2/m (10)" magmom_total_mub_per_fu=0.000 e_form_raw_ev_per_atom=-1.5587 density_kg_m3=8181 pbc="T T T"
Er 0.000 7.040 4.704
Er 3.897 2.309 1.685
Er 1.949 5.850 1.510
Er 1.949 3.499 4.879
Ga 0.000 4.675 3.194
Se 1.949 5.880 6.475
S 0.000 2.412 6.561
S 1.949 1.206 3.280

---

No. 4
12
Lattice="-4.924 -3.877 -2.882 0.963 -0.208 6.827 -2.922 6.178 -0.562" Properties=species:S:1:pos:R:3 comment="GGA-PBE Er6GaSe2S3, optimized geometry" n_ef_per_ev_cell=4.74 energy_ev_per_atom=-5.812 sg="C2/m (12)" magmom_total_mub_per_fu=0.000 e_form_raw_ev_per_atom=-1.6654 density_kg_m3=8256 pbc="T T T"
Er -6.098 0.911 0.980
Er -3.784 -1.517 2.867
Er -0.786 1.182 2.403
Er -4.193 2.098 4.122
Er -3.100 3.609 0.516
Er -2.691 -0.005 -0.739
Ga 0.000 0.000 0.000
Se -1.002 -1.433 3.586
Se -2.959 -2.652 0.358
S -1.503 2.255 4.890
S -5.381 -0.162 -1.507
S -3.442 1.046 1.691

---

No. 5
16
Lattice="-7.725 -1.136 1.438 1.819 -3.506 7.003 2.717 7.297 -1.554" Properties=species:S:1:pos:R:3 comment="GGA-PBE Er8GaSe4S3, optimized geometry" n_ef_per_ev_cell=5.93 energy_ev_per_atom=-5.801 sg="R-3m (166)" magmom_total_mub_per_fu=0.000 e_form_raw_ev_per_atom=-1.6851 density_kg_m3=8381 pbc="T T T"
Er 2.133 4.368 3.938
Er 0.772 0.714 4.716
Er -0.093 2.512 1.487
Er -1.735 3.799 4.658
Er -1.454 -1.144 2.228
Er -3.096 0.143 5.399
Er -3.962 1.940 2.170
Er -5.322 -1.713 2.948
Ga 0.909 -1.753 3.501
Se -3.863 -0.568 0.719
Se -2.504 3.080 -0.058
Se 0.000 0.000 0.000
Se 1.359 3.648 -0.777
S -2.953 -2.321 4.220
S -1.595 1.327 3.443
S 2.268 1.896 2.724

---

No. 6
8
Lattice="-0.690 -3.696 1.248 -1.902 -1.859 -6.560 5.663 -2.223 -3.455" Properties=species:S:1:pos:R:3 comment="GGA-PBE Er4GaSe2S, optimized geometry" n_ef_per_ev_cell=2.97 energy_ev_per_atom=-5.562 sg="P2/m (10)" magmom_total_mub_per_fu=0.000 e_form_raw_ev_per_atom=-1.5155 density_kg_m3=8308 pbc="T T T"
Er 2.875 -3.037 -7.410
Er 0.196 -4.741 -1.357
Er -0.316 -3.788 -5.107
Er 3.387 -3.990 -3.660
Ga 1.880 -2.041 -5.007
Se 5.663 -2.223 -3.455
Se 2.487 -2.959 -1.104
S -1.296 -2.778 -2.656